Entry from Alexandria via LeMat-Bulk: a relaxed structure of Ta2Ni21B6 (GGA-PBE).

a = 7.4470 Å, b = 7.4470 Å, c = 7.4470 Å
α = 60.00°, β = 60.00°, γ = 60.00°
Last column: nearest neighbours and their distance in Å.
Fractional positions:
Ta (0.7500, 0.7500, 0.7500)  4 Ni 2.45
Ta (0.2500, 0.2500, 0.2500)  4 Ni 2.45
Ni (0.0000, 0.0000, 0.0000)  12 Ni 2.54, 6 B 2.82
Ni (0.6156, 0.6156, 0.1532)  3 B 2.12
Ni (0.6156, 0.1532, 0.6156)  3 B 2.12
Ni (0.1532, 0.6156, 0.6156)  3 B 2.12
Ni (0.6156, 0.6156, 0.6156)  3 B 2.12
Ni (0.3844, 0.3844, 0.8468)  3 B 2.12
Ni (0.3844, 0.8468, 0.3844)  3 B 2.12
Ni (0.8468, 0.3844, 0.3844)  3 B 2.12
Ni (0.3844, 0.3844, 0.3844)  3 B 2.12
Ni (0.0000, 0.0000, 0.3407)  2 B 2.06
Ni (0.6593, 0.0000, 0.3407)  2 B 2.06
Ni (0.0000, 0.6593, 0.3407)  2 B 2.06
Ni (0.6593, 0.3407, 0.0000)  2 B 2.06
Ni (0.0000, 0.3407, 0.0000)  2 B 2.06
Ni (0.0000, 0.3407, 0.6593)  2 B 2.06
Ni (0.3407, 0.6593, 0.0000)  2 B 2.06
Ni (0.3407, 0.0000, 0.6593)  2 B 2.06
Ni (0.3407, 0.0000, 0.0000)  2 B 2.06
Ni (0.0000, 0.0000, 0.6593)  2 B 2.06
Ni (0.0000, 0.6593, 0.0000)  2 B 2.06
Ni (0.6593, 0.0000, 0.0000)  2 B 2.06
B (0.7326, 0.7326, 0.2674)  8 Ni 2.06-2.12
B (0.2674, 0.7326, 0.2674)  8 Ni 2.06-2.12
B (0.7326, 0.2674, 0.2674)  8 Ni 2.06-2.12
B (0.2674, 0.2674, 0.7326)  8 Ni 2.06-2.12
B (0.7326, 0.2674, 0.7326)  8 Ni 2.06-2.12
B (0.2674, 0.7326, 0.7326)  8 Ni 2.06-2.12

Values from the calculation:
total DFT energy (no corrections)	-6.72	eV per atom
symmetry	No. 225

Entry from Alexandria via LeMat-Bulk: a relaxed structure of TaNiB4 (GGA-PBE).

a = 3.1872 Å, b = 5.7456 Å, c = 11.1497 Å
α = 90.00°, β = 90.00°, γ = 90.00°
Last column: nearest neighbours and their distance in Å.
Fractional positions:
Ta (0.0000, 0.6233, 0.3480)  14 B 2.45-2.61
Ta (0.0000, 0.3767, 0.6520)  14 B 2.45-2.61
Ta (0.0000, 0.1233, 0.1520)  14 B 2.45-2.61
Ta (0.0000, 0.8767, 0.8480)  14 B 2.45-2.61
Ni (0.0000, 0.6339, 0.0923)  10 B 2.11-2.25
Ni (0.0000, 0.3661, 0.9077)  10 B 2.11-2.25
Ni (0.0000, 0.1339, 0.4077)  10 B 2.11-2.25
Ni (0.0000, 0.8661, 0.5923)  10 B 2.11-2.25
B (0.5000, 0.7896, 0.1873)  3 B 1.68-1.83
B (0.5000, 0.2104, 0.8127)  3 B 1.68-1.83
B (0.5000, 0.2896, 0.3127)  3 B 1.68-1.83
B (0.5000, 0.7104, 0.6873)  3 B 1.68-1.83
B (0.5000, 0.8689, 0.0314)  3 B 1.66-1.80
B (0.5000, 0.1311, 0.9686)  3 B 1.66-1.80
B (0.5000, 0.3689, 0.4686)  3 B 1.66-1.80
B (0.5000, 0.6311, 0.5314)  3 B 1.66-1.80
B (0.5000, 0.8796, 0.4502)  3 B 1.69-1.77
B (0.5000, 0.1204, 0.5498)  3 B 1.69-1.77
B (0.5000, 0.3796, 0.0498)  3 B 1.69-1.77
B (0.5000, 0.6204, 0.9502)  3 B 1.69-1.77
B (0.5000, 0.9721, 0.3049)  3 B 1.68-1.83
B (0.5000, 0.0279, 0.6951)  3 B 1.68-1.83
B (0.5000, 0.4721, 0.1951)  3 B 1.68-1.83
B (0.5000, 0.5279, 0.8049)  3 B 1.68-1.83

Values from the calculation:
total DFT energy (no corrections)	-7.66	eV per atom
symmetry	No. 55

Entry from Alexandria via LeMat-Bulk: a relaxed structure of Ta2NiB (GGA-PBE).

a = 6.4132 Å, b = 6.4132 Å, c = 5.3123 Å
α = 52.87°, β = 52.87°, γ = 90.00°
Last column: nearest neighbours and their distance in Å.
Fractional positions:
Ni (0.0000, 0.0000, 0.0000)  4 Ta 2.49, 2 B 2.77
Ni (0.7500, 0.2500, 0.5000)  4 Ta 2.49, 2 B 2.77
B (0.5000, 0.5000, 0.0000)  4 Ta 2.25
B (0.2500, 0.7500, 0.5000)  4 Ta 2.25
Ta (0.5973, 0.1250, 0.2500)  2 B 2.25, 2 Ni 2.49
Ta (0.1527, 0.6250, 0.2500)  2 B 2.25, 2 Ni 2.49
Ta (0.3750, 0.4027, 0.7500)  2 B 2.25, 2 Ni 2.49
Ta (0.8750, 0.8473, 0.7500)  2 B 2.25, 2 Ni 2.49

Values from the calculation:
total DFT energy (no corrections)	-8.84	eV per atom
symmetry	No. 122

Entry from Alexandria via LeMat-Bulk: a relaxed structure of Ta4NiB (GGA-PBE).

a = 4.8863 Å, b = 6.0201 Å, c = 6.0201 Å
α = 90.00°, β = 90.00°, γ = 90.00°
Last column: nearest neighbours and their distance in Å.
Fractional positions:
Ta (0.0000, 0.1753, 0.6488)  2 B 2.47, 2 Ni 2.66, 1 Ta 2.77
Ta (0.0000, 0.8247, 0.3512)  2 B 2.47, 2 Ni 2.66, 1 Ta 2.77
Ta (0.0000, 0.3512, 0.1753)  2 B 2.47, 2 Ni 2.66, 1 Ta 2.77
Ta (0.0000, 0.6488, 0.8247)  2 B 2.47, 2 Ni 2.66, 1 Ta 2.77
Ta (0.5000, 0.8247, 0.6488)  2 B 2.47, 2 Ni 2.66, 1 Ta 2.77
Ta (0.5000, 0.1753, 0.3512)  2 B 2.47, 2 Ni 2.66, 1 Ta 2.77
Ta (0.5000, 0.6488, 0.1753)  2 B 2.47, 2 Ni 2.66, 1 Ta 2.77
Ta (0.5000, 0.3512, 0.8247)  2 B 2.47, 2 Ni 2.66, 1 Ta 2.77
Ni (0.2500, 0.0000, 0.0000)  2 Ni 2.44, 8 Ta 2.66
Ni (0.7500, 0.0000, 0.0000)  2 Ni 2.44, 8 Ta 2.66
B (0.2500, 0.5000, 0.5000)  2 B 2.44, 8 Ta 2.47
B (0.7500, 0.5000, 0.5000)  2 B 2.44, 8 Ta 2.47

Values from the calculation:
total DFT energy (no corrections)	-10.34	eV per atom
symmetry	No. 124

no.,formation energy from the elements (kcal/mol of atoms)
1,-7.7
2,-6.3
3,4.6
4,-8.4